Compound: NaSrPd
Source: Alexandria via LeMat-Bulk
Functional: PBE
Structure: relaxed

abc: 4.8666 4.8666 4.1460
angles: 90.00 90.00 120.00
Space group P-6m2 (No. 187)
Asymmetric unit:
Na  0.0000  0.0000  0.0000 x1
Sr  0.6667  0.3333  0.5000 x1
Pd  0.3333  0.6667  0.0000 x1

energy	-2.923	eV/atom
ΔE_f	-191	meV per atom
offset from the most stable computed form	0.1885	eV/atom
N(E_F)	1.1	states/eV per cell

***

Compound: LiMg2Fe
Source: Alexandria via LeMat-Bulk
Functional: PBE
Structure: relaxed

abc: 6.599 6.755 3.028
angles: 90.00 90.12 90.00
Space group C2/m (No. 12)
Asymmetric unit:
Li  0.000  0.000  0.000 x2
Mg  0.250  0.250  0.500 x4
Fe  0.000  0.500  0.000 x2

energy	-3.209	eV/atom
ΔE_f	182	meV per atom
N(E_F)	8.5	states/eV per cell

***

Compound: Tm2InSi2Pd5
Source: Alexandria via LeMat-Bulk
Functional: PBE
Structure: relaxed

abc: 9.966 9.966 3.595
angles: 90.00 90.00 90.00
Space group P4/mbm (No. 127)
Asymmetric unit:
Tm  0.175  0.325  0.000 x4
In  0.000  0.000  0.000 x2
Si  0.124  0.624  0.000 x4
Pd  0.000  0.500  0.500 x2
Pd  0.063  0.784  0.500 x8

formation energy from raw total energies	-0.7623	eV/atom
energy	-5.611	eV/atom
N(E_F)	15.0	states/eV per cell

***

Compound: SmZr4Ru5
Source: Alexandria via LeMat-Bulk
Functional: PBE
Structure: relaxed

abc: 3.300 3.300 16.774
angles: 90.00 90.00 90.00
Space group P4/mmm (No. 123)
Asymmetric unit:
Sm  0.000  0.000  0.000 x1
Zr  0.000  0.000  0.205 x2
Zr  0.000  0.000  0.402 x2
Ru  0.500  0.500  0.116 x2
Ru  0.500  0.500  0.307 x2
Ru  0.500  0.500  0.500 x1

energy	-9.088	eV/atom
ΔE_f	-559	meV per atom
N(E_F)	3.4	states/eV per cell

***

Compound: Sb8Au
Source: Alexandria via LeMat-Bulk
Functional: PBE
Structure: relaxed

abc: 11.382 11.382 3.777
angles: 90.00 90.00 90.00
Space group I4/mmm (No. 139)
Asymmetric unit:
Sb  0.000  0.340  0.000 x8
Sb  0.141  0.141  0.500 x8
Au  0.000  0.000  0.000 x2

formation energy from raw total energies	0.1994	eV/atom
energy	-3.829	eV/atom
N(E_F)	8.2	states/eV per cell

***

Compound: Tm3Al3Cu8
Source: Alexandria via LeMat-Bulk
Functional: PBE
Structure: relaxed

abc: 4.180 8.691 12.516
angles: 90.00 90.00 90.00
Space group Immm (No. 71)
Asymmetric unit:
Tm  0.000  0.000  0.000 x2
Tm  0.000  0.000  0.293 x4
Al  0.000  0.207  0.500 x4
Al  0.000  0.500  0.000 x2
Cu  0.000  0.285  0.130 x8
Cu  0.000  0.356  0.332 x8

energy	-4.414	eV/atom
ΔE_f	-313	meV per atom
N(E_F)	14.7	states/eV per cell